MnReSe2, optimized geometry, DFT PBE; raw total energy = -26.477 eV/f.u.; formation energy from raw total energies = 0.527 eV per atom; magnetic moment = 4.09 μB per formula unit; ΔE to the lowest computed polymorph = 664 meV per atom
1.0
3.095 0.000 0.000
0.000 3.909 0.000
-1.032 0.000 6.063
Mn Re Se
1 1 2
direct
0.000 0.000 0.000 Mn
0.000 0.000 0.500 Re
0.206 0.500 0.748 Se
0.794 0.500 0.252 Se